4
Lattice="-0.7548 0.6846 -4.2170 3.1621 -2.5098 -0.9734 -2.5932 -3.2430 -0.0624" Properties=species:S:1:pos:R:3 comment="MgCd2Pd, relaxed, DFT PBE" magnetic_moment_mub_per_fu=0.00 delta_e_f_ev_per_atom=-0.330 energy_ev_per_atom=-2.484 space_group="P4/mmm (123)" pbc="T T T"
Mg -0.0930 -2.5341 -2.6264
Pd -0.3774 0.3423 -2.1085
Cd -1.2966 -1.6215 -0.0312
Cd 1.5810 -1.2549 -0.4867